[1]
Material: La4Pr4Nd3
Method: DFT, PBE
State: optimized geometry

Cell: 12.549 12.549 12.549 Å, 163.15 134.30 49.04°
Atoms (fractional coordinates):
1 La 0.026 0.855 0.170
2 La 0.315 0.145 0.170
3 La 0.685 0.855 0.830
4 La 0.974 0.145 0.830
5 Pr 0.263 0.763 0.500
6 Pr 0.312 0.000 0.312
7 Pr 0.688 0.000 0.688
8 Pr 0.737 0.237 0.500
9 Nd 0.000 0.500 0.500
10 Nd 0.394 0.394 0.000
11 Nd 0.606 0.606 0.000

The calculation puts the total energy at -4.713 eV per atom. The value obtained for the spin magnetization is 0.0 μB per cell. The value obtained for the polymorph energy (0 for the lowest one) is 0 meV per atom. The calculation puts the formation enthalpy at 0 K at 124 kJ/mol of formula units.

=====

[2]
Material: CeZnNiGe2
Method: DFT, PBE
State: optimized geometry

Cell: 4.135 4.135 10.381 Å, 90.00 90.00 90.00°
Atoms (fractional coordinates):
1 Ce 0.000 0.000 0.000
2 Ce 0.500 0.500 0.500
3 Zn 0.000 0.500 0.250
4 Zn 0.500 0.000 0.750
5 Ni 0.000 0.500 0.750
6 Ni 0.500 0.000 0.250
7 Ge 0.000 0.000 0.379
8 Ge 0.000 0.000 0.621
9 Ge 0.500 0.500 0.121
10 Ge 0.500 0.500 0.879

The calculation puts the total energy at -4.990 eV per atom. The value obtained for the spin magnetization is 1.2 μB per cell. The calculation puts the formation enthalpy at 0 K at -263 kJ/mol of formula units.

=====

[3]
Material: YErCoRu
Method: DFT, PBE
State: optimized geometry

Cell: 3.381 3.381 6.659 Å, 90.00 90.00 90.00°
Atoms (fractional coordinates):
1 Y 0.000 0.000 0.000
2 Er 0.000 0.000 0.503
3 Co 0.500 0.500 0.746
4 Ru 0.500 0.500 0.257

The calculation puts the total energy at -7.107 eV per atom. The value obtained for the spin magnetization is 0.4 μB per cell. The calculation puts the formation enthalpy at 0 K at -98 kJ/mol of formula units.

=====

[4]
Material: Ca3Ac2Pd2
Method: DFT, PBE
State: optimized geometry

Cell: 12.836 4.094 9.600 Å, 90.00 114.96 90.00°
Atoms (fractional coordinates):
1 Ca 0.000 0.000 0.000
2 Ca 0.122 0.000 0.428
3 Ca 0.378 0.500 0.572
4 Ca 0.500 0.500 0.000
5 Ca 0.622 0.500 0.428
6 Ca 0.878 0.000 0.572
7 Ac 0.168 0.500 0.805
8 Ac 0.332 0.000 0.195
9 Ac 0.668 0.000 0.805
10 Ac 0.832 0.500 0.195
11 Pd 0.172 0.500 0.232
12 Pd 0.328 0.000 0.768
13 Pd 0.672 0.000 0.232
14 Pd 0.828 0.500 0.768

The calculation puts the total energy at -3.981 eV per atom. The value obtained for the spin magnetization is 0.0 μB per cell. The calculation puts the formation enthalpy at 0 K at -315 kJ/mol of formula units.

=====

[5]
Material: Nb2ZnI
Method: DFT, PBE
State: optimized geometry

Cell: 4.092 4.092 19.889 Å, 90.00 90.00 90.00°
Atoms (fractional coordinates):
1 Nb 0.233 0.250 0.125
2 Nb 0.250 0.733 0.375
3 Nb 0.250 0.767 0.875
4 Nb 0.267 0.250 0.625
5 Nb 0.733 0.750 0.625
6 Nb 0.750 0.233 0.875
7 Nb 0.750 0.267 0.375
8 Nb 0.767 0.750 0.125
9 Zn 0.000 0.000 0.000
10 Zn 0.000 0.500 0.250
11 Zn 0.500 0.000 0.750
12 Zn 0.500 0.500 0.500
13 I 0.000 0.000 0.500
14 I 0.000 0.500 0.750
15 I 0.500 0.000 0.250
16 I 0.500 0.500 0.000

Its uncorrected formation energy is 2.4 eV/f.u. The calculation puts the total energy at -5.139 eV per atom. The value obtained for the spin magnetization is 0.0 μB per cell. The value obtained for the polymorph energy (0 for the lowest one) is 63 meV per atom.

=====

[6]
Material: RbTl2Cd2
Method: DFT, PBE
State: optimized geometry

Cell: 5.177 5.177 12.734 Å, 90.00 90.00 90.00°
Atoms (fractional coordinates):
1 Rb 0.000 0.000 0.000
2 Rb 0.500 0.500 0.500
3 Tl 0.000 0.500 0.250
4 Tl 0.000 0.500 0.750
5 Tl 0.500 0.000 0.250
6 Tl 0.500 0.000 0.750
7 Cd 0.000 0.000 0.386
8 Cd 0.000 0.000 0.614
9 Cd 0.500 0.500 0.114
10 Cd 0.500 0.500 0.886

The calculation puts the total energy at -1.553 eV per atom. The value obtained for the spin magnetization is 0.0 μB per cell. The value obtained for the polymorph energy (0 for the lowest one) is 7 meV per atom. The calculation puts the formation enthalpy at 0 K at -22 kJ/mol of formula units.

=====

[7]
Material: Al2In3
Method: DFT, PBE
State: optimized geometry

Cell: 7.064 7.064 7.064 Å, 62.31 62.31 62.31°
Atoms (fractional coordinates):
1 Al 0.173 0.173 0.173
2 Al 0.327 0.327 0.327
3 Al 0.673 0.673 0.673
4 Al 0.827 0.827 0.827
5 In 0.118 0.750 0.382
6 In 0.250 0.618 0.882
7 In 0.382 0.118 0.750
8 In 0.618 0.882 0.250
9 In 0.750 0.382 0.118
10 In 0.882 0.250 0.618

The calculation puts the total energy at -2.948 eV per atom. The value obtained for the spin magnetization is 0.0 μB per cell. The value obtained for the polymorph energy (0 for the lowest one) is 54 meV per atom. The calculation puts the formation enthalpy at 0 K at 93 kJ/mol of formula units.

=====

[8]
Material: Nd2Zn3Sn
Method: DFT, PBE
State: optimized geometry

Cell: 3.844 4.591 7.976 Å, 90.00 90.00 90.00°
Atoms (fractional coordinates):
1 Nd 0.000 0.000 0.000
2 Nd 0.000 0.500 0.486
3 Zn 0.500 0.000 0.321
4 Zn 0.500 0.000 0.641
5 Zn 0.500 0.500 0.174
6 Sn 0.500 0.500 0.828

The calculation puts the total energy at -3.360 eV per atom. The value obtained for the spin magnetization is 0.0 μB per cell. The value obtained for the polymorph energy (0 for the lowest one) is 24 meV per atom. The calculation puts the formation enthalpy at 0 K at -270 kJ/mol of formula units.

=====

[9]
Material: Li2NiAs
Method: DFT, PBE
State: optimized geometry

Cell: 2.775 4.007 4.824 Å, 90.00 90.00 90.00°
Atoms (fractional coordinates):
1 Li 0.000 0.000 0.248
2 Li 0.000 0.000 0.752
3 Ni 0.500 0.500 0.000
4 As 0.500 0.500 0.500

The calculation puts the total energy at -3.841 eV per atom. The value obtained for the spin magnetization is 0.0 μB per cell. The calculation puts the formation enthalpy at 0 K at -107 kJ/mol of formula units.

=====

[10]
Material: AcTbNpO6
Method: DFT, PBE
State: optimized geometry

Cell: 5.851 5.851 10.298 Å, 90.00 90.00 120.00°
Atoms (fractional coordinates):
1 Ac 0.000 0.000 0.000
2 Ac 0.000 0.000 0.500
3 Tb 0.333 0.667 0.250
4 Tb 0.667 0.333 0.750
5 Np 0.333 0.667 0.750
6 Np 0.667 0.333 0.250
7 O 0.027 0.373 0.641
8 O 0.027 0.653 0.859
9 O 0.347 0.373 0.859
10 O 0.347 0.973 0.641
11 O 0.373 0.027 0.141
12 O 0.373 0.347 0.359
13 O 0.627 0.653 0.641
14 O 0.627 0.973 0.859
15 O 0.653 0.027 0.359
16 O 0.653 0.627 0.141
17 O 0.973 0.347 0.141
18 O 0.973 0.627 0.359

Its uncorrected formation energy is -29.1 eV/f.u. The calculation puts the total energy at -8.953 eV per atom. The value obtained for the spin magnetization is 2.0 μB per cell.

=====

[11]
Material: Th2ZrCo
Method: DFT, PBE
State: optimized geometry

Cell: 3.592 3.592 28.937 Å, 90.00 90.00 120.00°
Atoms (fractional coordinates):
1 Th 0.000 0.000 0.107
2 Th 0.000 0.000 0.893
3 Th 0.333 0.667 0.560
4 Th 0.333 0.667 0.774
5 Th 0.667 0.333 0.226
6 Th 0.667 0.333 0.440
7 Zr 0.000 0.000 0.000
8 Zr 0.333 0.667 0.667
9 Zr 0.667 0.333 0.333
10 Co 0.000 0.000 0.500
11 Co 0.333 0.667 0.167
12 Co 0.667 0.333 0.833

The calculation puts the total energy at -7.297 eV per atom. The value obtained for the spin magnetization is 2.5 μB per cell. The value obtained for the polymorph energy (0 for the lowest one) is 459 meV per atom. The calculation puts the formation enthalpy at 0 K at 126 kJ/mol of formula units.

=====

[12]
Material: K2PaTlO5
Method: DFT, PBE
State: optimized geometry

Cell: 4.302 4.302 8.790 Å, 90.00 90.00 90.00°
Atoms (fractional coordinates):
1 K 0.000 0.000 0.224
2 K 0.000 0.000 0.776
3 Pa 0.500 0.500 0.000
4 Tl 0.500 0.500 0.500
5 O 0.000 0.000 0.500
6 O 0.000 0.500 0.000
7 O 0.500 0.000 0.000
8 O 0.500 0.500 0.249
9 O 0.500 0.500 0.751

Its uncorrected formation energy is -17.8 eV/f.u. The calculation puts the total energy at -6.297 eV per atom. The value obtained for the spin magnetization is 0.1 μB per cell.